VASP calculation (PBE with a Hubbard U) on Rb2NaWF6 after structural relaxation.

a = 6.2543 Å, b = 6.2543 Å, c = 6.2493 Å
α = 59.97°, β = 59.97°, γ = 90.00°
With the nearest neighbours (Å) after each atom.
Sites, in units of the cell vectors:
Rb1 0.7500 0.2500 0.5000  12 F 3.13
Rb2 0.2500 0.7500 0.5000  12 F 3.13
F1 0.2396 0.2396 0.5209  1 W 2.12, 1 Na 2.30
F2 0.7605 0.7605 0.0000  1 W 2.12, 1 Na 2.30
F3 0.7604 0.7604 0.4791  1 W 2.12, 1 Na 2.30
F4 0.7605 0.2395 0.0000  1 W 2.12, 1 Na 2.30
F5 0.2395 0.7605 0.0000  1 W 2.12, 1 Na 2.30
Na1 0.5000 0.5000 0.0000  6 F 2.30
W1 0.0000 0.0000 0.0000  6 F 2.12
F6 0.2395 0.2395 0.0000  1 W 2.12, 1 Na 2.30

Properties
* N(E_F): 0.0 states/eV/f.u.
* magnetic moment: 3.00 μB per formula unit
* DFT total energy: -0.3639 Ry per atom